First-principles (GGA-PBE) data for a relaxed Pu2Ga5Pd3 crystal, as listed in Alexandria via LeMat-Bulk.

Lattice parameters (Å, degrees): 8.715 8.715 8.715 107.53 85.13 141.59
Element x y z (fractional)
Pu  0.145  0.224  0.370
Pu  0.355  0.724  0.079
Pu  0.645  0.276  0.921
Pu  0.855  0.776  0.630
Ga  0.045  0.750  0.295
Ga  0.089  0.673  0.762
Ga  0.250  0.250  0.000
Ga  0.411  0.173  0.584
Ga  0.455  0.750  0.705
Ga  0.545  0.250  0.295
Ga  0.589  0.827  0.416
Ga  0.750  0.750  0.000
Ga  0.911  0.327  0.238
Ga  0.955  0.250  0.705
Pd  0.147  0.906  0.053
Pd  0.250  0.750  0.500
Pd  0.353  0.406  0.760
Pd  0.647  0.594  0.240
Pd  0.750  0.250  0.500
Pd  0.853  0.094  0.947

## Properties
Calculated formation energy in eV per formula unit: -5.72
Space-group type: No. 72
DFT total energy in eV per cell: -130.20

First-principles (GGA-PBE) data for a relaxed Li2PrCd10 crystal, as listed in Alexandria via LeMat-Bulk.

Lattice parameters (Å, degrees): 5.545 7.658 7.668 82.50 68.84 68.83
Element x y z (fractional)
Li  0.000  0.000  0.000
Li  0.500  0.000  0.000
Pr  0.000  0.500  0.000
Cd  0.000  0.500  0.500
Cd  0.015  0.138  0.335
Cd  0.287  0.725  0.205
Cd  0.348  0.138  0.665
Cd  0.489  0.724  0.795
Cd  0.500  0.500  0.500
Cd  0.511  0.276  0.205
Cd  0.652  0.862  0.335
Cd  0.713  0.275  0.795
Cd  0.985  0.862  0.665

## Properties
Calculated formation energy in eV per formula unit: -2.57
Space-group type: No. 2
DFT total energy in eV per cell: -20.33

| no. | volume (Å³/cell) | M_tot (μB/f.u.) |
| --- | --- | --- |
| 1 | 379.05 | 11.056 |
| 2 | 283.15 | 0.000 |